(1)
Below is CuAgTe at its PBEsol-relaxed geometry, with properties calculated at the meta-GGA SCAN level.

Geometry as CIF:
```
data_CuAgTe
_cell_length_a 6.184
_cell_length_b 6.184
_cell_length_c 6.184
_cell_angle_alpha 90.00
_cell_angle_beta 90.00
_cell_angle_gamma 90.00
_space_group_name_H-M_alt 'F -4 3 m'
_space_group_IT_number 216
_space_group_name_Hall 'F -4 2 3'
loop_
_atom_site_label
_atom_site_fract_x
_atom_site_fract_y
_atom_site_fract_z
Cu1 0.000 0.000 0.000
Ag1 0.250 0.250 0.250
Te1 0.250 0.250 0.750
```

Results
For the calculated volume, the calculation gives 19.711 Å³/atom. The formation energy (no corrections) is -0.1 eV/f.u. The calculation puts the total magnetization at 0.00 μB/f.u. The value obtained for the density of states at the Fermi level is 0.19 states/eV/atom. Its excess energy over the best structure of this formula in the dataset is 0 meV per atom.

=====

(2)
Below is CuAgTe2 at its PBEsol-relaxed geometry, with properties calculated at the meta-GGA SCAN level.

Geometry as CIF:
```
data_CuAgTe2
_cell_length_a 3.803
_cell_length_b 5.837
_cell_length_c 7.973
_cell_angle_alpha 90.00
_cell_angle_beta 90.00
_cell_angle_gamma 90.00
_space_group_name_H-M_alt 'C m m m'
_space_group_IT_number 65
_space_group_name_Hall '-C 2 2'
loop_
_atom_site_label
_atom_site_fract_x
_atom_site_fract_y
_atom_site_fract_z
Cu1 0.000 0.000 0.000
Ag1 0.000 0.000 0.500
Te1 0.000 0.500 0.228
```

Results
For the calculated volume, the calculation gives 22.119 Å³/atom. The formation energy (no corrections) is 1.1 eV/f.u. The calculation puts the total magnetization at 0.00 μB/f.u. The value obtained for the density of states at the Fermi level is 0.58 states/eV/atom.

=====

(3)
Below is CuAgTe2 at its PBEsol-relaxed geometry, with properties calculated at the meta-GGA SCAN level.

Geometry as CIF:
```
data_CuAgTe2
_cell_length_a 4.776
_cell_length_b 4.776
_cell_length_c 7.359
_cell_angle_alpha 90.00
_cell_angle_beta 90.00
_cell_angle_gamma 90.00
_space_group_name_H-M_alt 'I 4/m m m'
_space_group_IT_number 139
_space_group_name_Hall '-I 4 2'
loop_
_atom_site_label
_atom_site_fract_x
_atom_site_fract_y
_atom_site_fract_z
Cu1 0.000 0.000 0.000
Ag1 0.000 0.000 0.500
Te1 0.000 0.500 0.250
```

Results
For the calculated volume, the calculation gives 20.982 Å³/atom. The formation energy (no corrections) is 1.6 eV/f.u. The calculation puts the total magnetization at 0.00 μB/f.u. The value obtained for the density of states at the Fermi level is 0.56 states/eV/atom.

=====

(4)
Below is CuAgTe2 at its PBEsol-relaxed geometry, with properties calculated at the meta-GGA SCAN level.

Geometry as CIF:
```
data_CuAgTe2
_cell_length_a 3.8419
_cell_length_b 3.8419
_cell_length_c 20.1799
_cell_angle_alpha 90.00
_cell_angle_beta 90.00
_cell_angle_gamma 120.00
_space_group_name_H-M_alt 'R -3 m'
_space_group_IT_number 166
_space_group_name_Hall '-R 3 2"'
loop_
_atom_site_label
_atom_site_fract_x
_atom_site_fract_y
_atom_site_fract_z
Cu1 0.0000 0.0000 0.0000
Ag1 0.0000 0.0000 0.5000
Te1 0.0000 0.0000 0.2580
```

Results
For the calculated volume, the calculation gives 21.497 Å³/atom. The formation energy (no corrections) is 0.0 eV/f.u. The calculation puts the total magnetization at 0.00 μB/f.u. The value obtained for the density of states at the Fermi level is 0.49 states/eV/atom.

=====

(5)
Below is CuAgTe at its PBEsol-relaxed geometry, with properties calculated at the meta-GGA SCAN level.

Geometry as CIF:
```
data_CuAgTe
_cell_length_a 3.094
_cell_length_b 3.094
_cell_length_c 11.839
_cell_angle_alpha 90.00
_cell_angle_beta 90.00
_cell_angle_gamma 90.00
_space_group_name_H-M_alt 'I 4 m m'
_space_group_IT_number 107
_space_group_name_Hall 'I 4 -2'
loop_
_atom_site_label
_atom_site_fract_x
_atom_site_fract_y
_atom_site_fract_z
Cu1 0.000 0.000 0.000
Ag1 0.000 0.000 0.370
Te1 0.000 0.000 0.658
```

Results
For the calculated volume, the calculation gives 18.892 Å³/atom. The formation energy (no corrections) is 0.9 eV/f.u. The calculation puts the total magnetization at 0.00 μB/f.u. The value obtained for the density of states at the Fermi level is 0.32 states/eV/atom. Its excess energy over the best structure of this formula in the dataset is 351 meV per atom.

=====

(6)
Below is Cu3AgTe at its PBEsol-relaxed geometry, with properties calculated at the meta-GGA SCAN level.

Geometry as CIF:
```
data_Cu3AgTe
_cell_length_a 4.625
_cell_length_b 4.625
_cell_length_c 4.625
_cell_angle_alpha 90.00
_cell_angle_beta 90.00
_cell_angle_gamma 90.00
_space_group_name_H-M_alt 'P m -3 m'
_space_group_IT_number 221
_space_group_name_Hall '-P 4 2 3'
loop_
_atom_site_label
_atom_site_fract_x
_atom_site_fract_y
_atom_site_fract_z
Cu1 0.000 0.000 0.500
Ag1 0.000 0.000 0.000
Te1 0.500 0.500 0.500
```

Results
For the calculated volume, the calculation gives 19.784 Å³/atom. The formation energy (no corrections) is 4.3 eV/f.u. The calculation puts the total magnetization at 0.00 μB/f.u. The value obtained for the density of states at the Fermi level is 0.31 states/eV/atom.

=====

(7)
Below is CuAgTe2 at its PBEsol-relaxed geometry, with properties calculated at the meta-GGA SCAN level.

Geometry as CIF:
```
data_CuAgTe2
_cell_length_a 6.152
_cell_length_b 6.152
_cell_length_c 11.292
_cell_angle_alpha 90.00
_cell_angle_beta 90.00
_cell_angle_gamma 90.00
_space_group_name_H-M_alt 'I -4 2 d'
_space_group_IT_number 122
_space_group_name_Hall 'I -4 2bw'
loop_
_atom_site_label
_atom_site_fract_x
_atom_site_fract_y
_atom_site_fract_z
Cu1 0.000 0.000 0.000
Ag1 0.000 0.000 0.500
Te1 0.222 0.250 0.125
```

Results
For the calculated volume, the calculation gives 26.713 Å³/atom. The formation energy (no corrections) is 0.1 eV/f.u. The calculation puts the total magnetization at 0.00 μB/f.u. The value obtained for the density of states at the Fermi level is 0.68 states/eV/atom.

=====

(8)
Below is CuAgTe2 at its PBEsol-relaxed geometry, with properties calculated at the meta-GGA SCAN level.

Geometry as CIF:
```
data_CuAgTe2
_cell_length_a 3.099
_cell_length_b 4.182
_cell_length_c 7.143
_cell_angle_alpha 90.00
_cell_angle_beta 90.00
_cell_angle_gamma 90.00
_space_group_name_H-M_alt 'P m m 2'
_space_group_IT_number 25
loop_
_space_group_symop_operation_xyz
'x,y,z'
'-x,-y,z'
'-x,y,z'
'x,-y,z'
loop_
_atom_site_label
_atom_site_fract_x
_atom_site_fract_y
_atom_site_fract_z
Cu1 0.000 0.000 0.000
Ag1 0.500 0.500 0.882
Te1 0.000 0.500 0.225
Te2 0.500 0.000 0.640
```

Results
For the calculated volume, the calculation gives 23.140 Å³/atom. The formation energy (no corrections) is 0.0 eV/f.u. The calculation puts the total magnetization at 0.00 μB/f.u. The value obtained for the density of states at the Fermi level is 0.37 states/eV/atom.

=====

(9)
Below is CuAgTe2 at its PBEsol-relaxed geometry, with properties calculated at the meta-GGA SCAN level.

Geometry as CIF:
```
data_CuAgTe2
_cell_length_a 3.917
_cell_length_b 3.962
_cell_length_c 5.629
_cell_angle_alpha 90.00
_cell_angle_beta 90.00
_cell_angle_gamma 90.00
_space_group_name_H-M_alt 'P m m m'
_space_group_IT_number 47
loop_
_space_group_symop_operation_xyz
'x,y,z'
'-x,-y,-z'
'-x,-y,z'
'x,y,-z'
'x,-y,-z'
'-x,y,z'
'-x,y,-z'
'x,-y,z'
loop_
_atom_site_label
_atom_site_fract_x
_atom_site_fract_y
_atom_site_fract_z
Cu1 0.000 0.000 0.000
Ag1 0.500 0.000 0.500
Te1 0.000 0.500 0.500
Te2 0.500 0.500 0.000
```

Results
For the calculated volume, the calculation gives 21.841 Å³/atom. The formation energy (no corrections) is 1.3 eV/f.u. The calculation puts the total magnetization at 0.00 μB/f.u. The value obtained for the density of states at the Fermi level is 0.50 states/eV/atom.

=====

(10)
Below is Zr2CuAgTe at its PBEsol-relaxed geometry, with properties calculated at the meta-GGA SCAN level.

Geometry as CIF:
```
data_Zr2CuAgTe
_cell_length_a 5.263
_cell_length_b 5.263
_cell_length_c 4.554
_cell_angle_alpha 90.00
_cell_angle_beta 90.00
_cell_angle_gamma 90.00
_space_group_name_H-M_alt 'P 4/m m m'
_space_group_IT_number 123
_space_group_name_Hall '-P 4 2'
loop_
_atom_site_label
_atom_site_fract_x
_atom_site_fract_y
_atom_site_fract_z
Zr1 0.000 0.500 0.000
Cu1 0.000 0.000 0.500
Ag1 0.500 0.500 0.500
Te1 0.000 0.000 0.000
```

Results
For the calculated volume, the calculation gives 25.228 Å³/atom. The formation energy (no corrections) is 3.5 eV/f.u. The calculation puts the total magnetization at 0.00 μB/f.u. The value obtained for the density of states at the Fermi level is 0.60 states/eV/atom.

=====

(11)
Below is TlCuAg2 at its PBEsol-relaxed geometry, with properties calculated at the meta-GGA SCAN level.

Geometry as CIF:
```
data_TlCuAg2
_cell_length_a 6.493
_cell_length_b 6.493
_cell_length_c 6.493
_cell_angle_alpha 90.00
_cell_angle_beta 90.00
_cell_angle_gamma 90.00
_space_group_name_H-M_alt 'F -4 3 m'
_space_group_IT_number 216
_space_group_name_Hall 'F -4 2 3'
loop_
_atom_site_label
_atom_site_fract_x
_atom_site_fract_y
_atom_site_fract_z
Tl1 0.000 0.000 0.000
Cu1 0.250 0.250 0.250
Ag1 0.000 0.000 0.500
Ag2 0.250 0.250 0.750
```

Results
For the calculated volume, the calculation gives 17.109 Å³/atom. The calculation puts the total magnetization at 0.00 μB/f.u. The value obtained for the density of states at the Fermi level is 0.23 states/eV/atom. Its formation energy is 0.215 eV/atom.

=====

(12)
Below is TlCuAg2 at its PBEsol-relaxed geometry, with properties calculated at the meta-GGA SCAN level.

Geometry as CIF:
```
data_TlCuAg2
_cell_length_a 2.930
_cell_length_b 4.416
_cell_length_c 5.500
_cell_angle_alpha 90.00
_cell_angle_beta 101.54
_cell_angle_gamma 90.00
_space_group_name_H-M_alt 'P 1 2/m 1'
_space_group_IT_number 10
loop_
_space_group_symop_operation_xyz
'x,y,z'
'-x,-y,-z'
'-x,y,-z'
'x,-y,z'
loop_
_atom_site_label
_atom_site_fract_x
_atom_site_fract_y
_atom_site_fract_z
Tl1 0.000 0.000 0.000
Cu1 0.000 0.000 0.500
Ag1 0.382 0.500 0.725
```

Results
For the calculated volume, the calculation gives 17.433 Å³/atom. The calculation puts the total magnetization at 0.00 μB/f.u. The value obtained for the density of states at the Fermi level is 0.29 states/eV/atom. Its formation energy is 0.235 eV/atom.